The following is a DFT calculation (PBE) of Cr2BiI after structural relaxation.

The space group is Fm-3m (No. 225) and the conventional cell measures 7.247, 7.247 and 7.247 Å, with angles of 90.00, 90.00 and 90.00 degrees. The inequivalent atoms are Cr at (0.250, 0.250, 0.250), Bi at (0.000, 0.000, 0.000) and I at (0.000, 0.000, 0.500).

The value obtained for the energy above the most stable polymorph in this dataset is 8.2 kJ per mole of atoms. The value obtained for the energy is -88.52 eV/cell. For the density, the calculation gives 7.68 Mg/m³.

The following is a DFT calculation (PBE) of CrBiI2 after structural relaxation.

The space group is I-42d (No. 122) and the conventional cell measures 8.405, 8.405 and 7.295 Å, with angles of 90.00, 90.00 and 90.00 degrees. The inequivalent atoms are Cr at (0.000, 0.000, 0.000), Bi at (0.000, 0.000, 0.500) and I at (0.197, 0.250, 0.125).

The value obtained for the energy above the most stable polymorph in this dataset is 0.0 kJ per mole of atoms. The value obtained for the energy is -61.20 eV/cell. For the density, the calculation gives 6.64 Mg/m³.

The following is a DFT calculation (PBE) of Cr3BiI after structural relaxation.

The space group is Pm-3m (No. 221) and the conventional cell measures 5.440, 5.440 and 5.440 Å, with angles of 90.00, 90.00 and 90.00 degrees. The inequivalent atoms are Cr at (0.000, 0.000, 0.500), Bi at (0.000, 0.000, 0.000) and I at (0.500, 0.500, 0.500).

The value obtained for the energy above the most stable polymorph in this dataset is 0.0 kJ per mole of atoms. The value obtained for the energy is -28.99 eV/cell. For the density, the calculation gives 5.07 Mg/m³.

| no. | M_tot (μB/atom) |
| --- | --- |
| 1 | 1.95 |
| 2 | 1.14 |
| 3 | 2.80 |